Entry 1:
## BiSbIrI2 (PBE-GGA)

Data for a relaxed BiSbIrI2 crystal.

Values from the calculation:
Offset from the most stable computed form = 0 meV/atom
Uncorrected formation energy = 446 meV per atom
Space group = P4/mmm (123)

Unit cell a=5.481 b=5.481 c=5.114 alpha=90.00 beta=90.00 gamma=90.00
Element x y z (fractional)
Bi (0.500, 0.500, 0.500)
I (0.500, 0.000, 0.000)
I (0.000, 0.500, 0.000)
Sb (0.000, 0.000, 0.500)
Ir (0.000, 0.000, 0.000)

***

Entry 2:
## Ca3YEr2Te6 (PBE-GGA)

Data for a relaxed Ca3YEr2Te6 crystal.

Values from the calculation:
Uncorrected formation energy = -1439 meV per atom
Space group = C2/m (12)

Unit cell a=4.380 b=8.886 c=9.920 alpha=104.16 beta=102.75 gamma=90.00
Element x y z (fractional)
Te (0.001, 0.249, 0.003)
Te (0.334, 0.913, 0.667)
Te (0.331, 0.423, 0.661)
Te (0.666, 0.087, 0.333)
Te (0.999, 0.751, 0.997)
Te (0.669, 0.577, 0.339)
Y (0.500, 0.000, 0.000)
Er (0.165, 0.329, 0.329)
Er (0.835, 0.671, 0.671)
Ca (0.166, 0.832, 0.332)
Ca (0.834, 0.168, 0.668)
Ca (0.500, 0.500, 0.000)

***

Entry 3:
## Sr2Al4CuAu3 (PBE-GGA)

Data for a relaxed Sr2Al4CuAu3 crystal.

Values from the calculation:
Space group = P-4m2 (115)

Unit cell a=4.460 b=4.460 c=10.686 alpha=90.00 beta=90.00 gamma=90.00
Element x y z (fractional)
Sr (0.000, 0.500, 0.746)
Sr (0.500, 0.000, 0.254)
Al (0.500, 0.500, 0.000)
Al (0.000, 0.000, 0.000)
Al (0.500, 0.000, 0.620)
Al (0.000, 0.500, 0.380)
Au (0.500, 0.000, 0.866)
Au (0.000, 0.000, 0.500)
Au (0.000, 0.500, 0.134)
Cu (0.500, 0.500, 0.500)

***

Entry 4:
## In9Hg4Pb2 (PBE-GGA)

Data for a relaxed In9Hg4Pb2 crystal.

Values from the calculation:
Space group = P-1 (2)

Unit cell a=3.629 b=6.587 c=18.712 alpha=107.33 beta=86.47 gamma=106.62
Element x y z (fractional)
Pb (0.333, 0.678, 0.769)
Pb (0.667, 0.322, 0.231)
Hg (0.673, 0.336, 0.628)
Hg (0.656, 0.305, 0.830)
Hg (0.344, 0.695, 0.170)
Hg (0.327, 0.664, 0.372)
In (0.977, 0.974, 0.303)
In (0.337, 0.664, 0.569)
In (0.996, 0.976, 0.088)
In (0.000, 0.000, 0.500)
In (0.004, 0.024, 0.912)
In (0.663, 0.336, 0.431)
In (0.023, 0.026, 0.697)
In (0.320, 0.632, 0.953)
In (0.680, 0.368, 0.047)

***

Entry 5:
## YZrW2 (PBE-GGA)

Data for a relaxed YZrW2 crystal.

Values from the calculation:
Offset from the most stable computed form = 484 meV/atom
Space group = R-3m (166)

Unit cell a=10.246 b=10.246 c=10.246 alpha=17.07 beta=17.07 gamma=17.07
Element x y z (fractional)
W (0.497, 0.497, 0.497)
W (0.003, 0.003, 0.003)
Zr (0.750, 0.750, 0.750)
Y (0.250, 0.250, 0.250)

***

Entry 6:
## MoPdS2 (PBE-GGA)

Data for a relaxed MoPdS2 crystal.

Values from the calculation:
Offset from the most stable computed form = 221 meV/atom
Uncorrected formation energy = -232 meV per atom
Space group = I-42d (122)

Unit cell a=5.557 b=5.557 c=6.462 alpha=64.53 beta=64.53 gamma=90.00
Element x y z (fractional)
S (0.875, 0.858, 0.750)
S (0.608, 0.125, 0.250)
S (0.375, 0.392, 0.750)
S (0.142, 0.625, 0.250)
Pd (0.000, 0.000, 0.000)
Pd (0.750, 0.250, 0.500)
Mo (0.500, 0.500, 0.000)
Mo (0.250, 0.750, 0.500)

***

Entry 7:
## Ho2AlTl3S6 (PBE-GGA)

Data for a relaxed Ho2AlTl3S6 crystal.

Values from the calculation:
Uncorrected formation energy = -1218 meV per atom
Space group = C2/m (12)

Unit cell a=6.741 b=6.741 c=7.836 alpha=98.27 beta=98.27 gamma=119.79
Element x y z (fractional)
Tl (0.172, 0.828, 0.500)
Tl (0.828, 0.172, 0.500)
Tl (0.500, 0.500, 0.500)
S (0.244, 0.244, 0.805)
S (0.634, 0.938, 0.815)
S (0.756, 0.756, 0.195)
S (0.366, 0.062, 0.185)
S (0.062, 0.366, 0.185)
S (0.938, 0.634, 0.815)
Al (0.000, 0.000, 0.000)
Ho (0.334, 0.666, 0.000)
Ho (0.666, 0.334, 0.000)

***

Entry 8:
## Er7Co2Hg2 (PBE-GGA)

Data for a relaxed Er7Co2Hg2 crystal.

Values from the calculation:
Space group = Cmmm (65)

Unit cell a=6.611 b=6.967 c=6.611 alpha=90.00 beta=108.95 gamma=90.00
Element x y z (fractional)
Er (0.000, 0.000, 0.000)
Er (0.500, 0.756, 0.000)
Er (0.000, 0.244, 0.500)
Er (0.000, 0.756, 0.500)
Er (0.500, 0.766, 0.500)
Er (0.500, 0.234, 0.500)
Er (0.500, 0.244, 0.000)
Hg (0.813, 0.500, 0.813)
Hg (0.187, 0.500, 0.187)
Co (0.708, 0.000, 0.292)
Co (0.292, 0.000, 0.708)

***

Entry 9:
## CeNiPtAu (PBE-GGA)

Data for a relaxed CeNiPtAu crystal.

Values from the calculation:
Space group = F-43m (216)

Unit cell a=4.713 b=4.713 c=4.713 alpha=60.00 beta=60.00 gamma=60.00
Element x y z (fractional)
Au (0.000, 0.000, 0.000)
Pt (0.750, 0.750, 0.750)
Ni (0.250, 0.250, 0.250)
Ce (0.500, 0.500, 0.500)

***

no.,VASP energy (eV/f.u.),volume (Å³/f.u.)
1,-17.7,153.6
2,-57.7,364.5
3,-37.8,212.6
4,-33.0,409.0
5,-38.2,80.9
6,-25.2,79.2
7,-59.4,296.1
8,-48.9,288.1
9,-23.0,74.0